Here is a relaxed structure of Nd4Pt2Cl3 from Alexandria via LeMat-Bulk. Energies are from PBE.

* E_form (uncorrected): -35.031 kcal/mol of atoms
* V: 265.0 Å³/cell
* D(E_F): 0.66 states/eV per atom

Cell lengths 4.138, 4.138, 17.869 Å; angles 90.06, 89.94, 120.00 degrees
Fractional positions:
Nd1 0.334 0.666 0.878
Nd2 0.999 0.001 0.307
Nd3 0.001 0.999 0.693
Nd4 0.666 0.334 0.122
Pt1 0.667 0.333 0.790
Pt2 0.333 0.667 0.210
Cl1 0.665 0.335 0.403
Cl2 0.000 0.000 0.000
Cl3 0.335 0.665 0.597



Here is a relaxed structure of NdPtCl from Alexandria via LeMat-Bulk. Energies are from PBE.

* E_form (uncorrected): -32.428 kcal/mol of atoms
* V: 326.3 Å³/cell

Cell lengths 5.150, 8.547, 8.547 Å; angles 60.35, 86.91, 86.91 degrees
Fractional positions:
Cl1 0.237 0.666 0.916
Cl2 0.763 0.834 0.584
Cl3 0.763 0.334 0.084
Cl4 0.237 0.166 0.416
Nd1 0.050 0.483 0.734
Nd2 0.050 0.983 0.233
Nd3 0.950 0.517 0.266
Nd4 0.950 0.017 0.767
Pt1 0.651 0.359 0.609
Pt2 0.651 0.859 0.109
Pt3 0.349 0.641 0.391
Pt4 0.349 0.141 0.891



Here is a relaxed structure of Nd6Pt2RhCl3 from Alexandria via LeMat-Bulk. Energies are from PBE.

* E_form (uncorrected): -29.587 kcal/mol of atoms
* V: 338.2 Å³/cell
* D(E_F): 0.73 states/eV per atom

Cell lengths 4.167, 8.898, 9.839 Å; angles 108.01, 102.22, 90.00 degrees
Fractional positions:
Nd1 0.346 0.897 0.693
Nd2 0.675 0.561 0.349
Nd3 0.654 0.103 0.307
Nd4 0.009 0.223 0.019
Nd5 0.991 0.777 0.981
Nd6 0.325 0.439 0.651
Pt1 0.833 0.666 0.665
Pt2 0.167 0.334 0.335
Rh1 0.500 0.000 0.000
Cl1 0.500 0.500 0.000
Cl2 0.835 0.172 0.671
Cl3 0.165 0.828 0.329



Here is a relaxed structure of Nd3PtRhCl from Alexandria via LeMat-Bulk. Energies are from PBE.

* E_form (uncorrected): -24.260 kcal/mol of atoms
* V: 313.2 Å³/cell
* D(E_F): 0.62 states/eV per atom

Cell lengths 3.900, 7.608, 10.857 Å; angles 103.51, 90.00, 90.00 degrees
Fractional positions:
Nd1 0.750 0.052 0.153
Nd2 0.250 0.948 0.847
Nd3 0.250 0.709 0.511
Nd4 0.750 0.291 0.489
Nd5 0.750 0.555 0.161
Nd6 0.250 0.445 0.839
Pt1 0.250 0.361 0.310
Pt2 0.750 0.639 0.690
Rh1 0.250 0.764 0.048
Rh2 0.750 0.236 0.952
Cl1 0.250 0.112 0.624
Cl2 0.750 0.888 0.376



Here is a relaxed structure of Nd4PtRhCl2 from Alexandria via LeMat-Bulk. Energies are from PBE.

* E_form (uncorrected): -28.949 kcal/mol of atoms
* V: 224.6 Å³/cell
* D(E_F): 0.60 states/eV per atom

Cell lengths 4.145, 7.895, 7.220 Å; angles 71.91, 90.00, 90.00 degrees
Fractional positions:
Nd1 0.000 0.706 0.757
Nd2 0.000 0.294 0.243
Nd3 0.500 0.705 0.267
Nd4 0.500 0.295 0.733
Pt1 0.500 0.500 0.000
Rh1 0.000 0.500 0.500
Cl1 0.000 0.000 0.000
Cl2 0.500 0.000 0.500



Here is a relaxed structure of Nd4RuPtCl2 from Alexandria via LeMat-Bulk. Energies are from PBE.

* E_form (uncorrected): -26.259 kcal/mol of atoms
* V: 222.8 Å³/cell
* D(E_F): 0.26 states/eV per atom

Cell lengths 4.125, 7.925, 7.141 Å; angles 72.65, 90.00, 90.00 degrees
Fractional positions:
Nd1 0.000 0.704 0.755
Nd2 0.000 0.296 0.245
Nd3 0.500 0.707 0.274
Nd4 0.500 0.293 0.726
Ru1 0.000 0.500 0.500
Pt1 0.500 0.500 0.000
Cl1 0.000 0.000 0.000
Cl2 0.500 0.000 0.500



Here is a relaxed structure of Nd4PtS2Cl from Alexandria via LeMat-Bulk. Energies are from PBE.

* E_form (uncorrected): -37.984 kcal/mol of atoms
* V: 199.6 Å³/cell
* D(E_F): 0.55 states/eV per atom

Cell lengths 4.010, 7.306, 7.191 Å; angles 71.37, 90.00, 90.00 degrees
Fractional positions:
Nd1 0.000 0.752 0.758
Nd2 0.000 0.248 0.242
Nd3 0.500 0.770 0.237
Nd4 0.500 0.230 0.763
Pt1 0.500 0.500 0.000
S1 0.000 0.000 0.000
S2 0.500 0.000 0.500
Cl1 0.000 0.500 0.500



Here is a relaxed structure of Nd3PtSeCl from Alexandria via LeMat-Bulk. Energies are from PBE.

* E_form (uncorrected): -29.983 kcal/mol of atoms
* V: 328.9 Å³/cell
* D(E_F): 0.62 states/eV per atom

Cell lengths 4.184, 8.461, 9.519 Å; angles 102.55, 90.00, 90.00 degrees
Fractional positions:
Nd1 0.750 0.894 0.109
Nd2 0.250 0.106 0.891
Nd3 0.250 0.724 0.488
Nd4 0.750 0.276 0.512
Nd5 0.750 0.432 0.164
Nd6 0.250 0.568 0.836
Pt1 0.250 0.666 0.152
Pt2 0.750 0.334 0.848
Se1 0.250 0.185 0.238
Se2 0.750 0.815 0.762
Cl1 0.250 0.092 0.599
Cl2 0.750 0.908 0.401



Here is a relaxed structure of Nd6Pt2Se3Cl from Alexandria via LeMat-Bulk. Energies are from PBE.

* E_form (uncorrected): -34.977 kcal/mol of atoms
* V: 324.4 Å³/cell
* D(E_F): 0.71 states/eV per atom

Cell lengths 4.123, 8.687, 9.604 Å; angles 104.68, 102.39, 90.00 degrees
Fractional positions:
Nd1 0.328 0.898 0.656
Nd2 0.669 0.573 0.339
Nd3 0.672 0.102 0.344
Nd4 0.005 0.264 0.009
Nd5 0.995 0.736 0.991
Nd6 0.331 0.427 0.661
Pt1 0.835 0.669 0.670
Pt2 0.165 0.331 0.330
Se1 0.500 0.500 0.000
Se2 0.839 0.164 0.678
Se3 0.161 0.836 0.322
Cl1 0.500 0.000 0.000



Here is a relaxed structure of Nd8Si3PtCl4 from Alexandria via LeMat-Bulk. Energies are from PBE.

* E_form (uncorrected): -27.584 kcal/mol of atoms
* V: 431.7 Å³/cell
* D(E_F): 0.60 states/eV per atom

Cell lengths 8.509, 8.459, 8.508 Å; angles 120.20, 120.00, 90.00 degrees
Fractional positions:
Nd1 0.242 0.726 0.985
Nd2 0.242 0.726 0.484
Nd3 0.257 0.270 0.513
Nd4 0.743 0.726 0.985
Nd5 0.257 0.274 0.015
Nd6 0.743 0.730 0.487
Nd7 0.758 0.274 0.516
Nd8 0.758 0.274 0.015
Si1 0.500 0.500 0.000
Si2 0.500 0.500 0.500
Si3 0.000 0.500 0.500
Pt1 0.000 0.500 0.000
Cl1 0.500 0.000 0.000
Cl2 0.500 0.000 0.500
Cl3 0.000 0.000 0.000
Cl4 0.000 0.000 0.500



Here is a relaxed structure of Nd6Si2PtCl3 from Alexandria via LeMat-Bulk. Energies are from PBE.

* E_form (uncorrected): -27.859 kcal/mol of atoms
* V: 325.6 Å³/cell
* D(E_F): 0.63 states/eV per atom

Cell lengths 4.186, 8.618, 9.472 Å; angles 101.94, 102.76, 90.00 degrees
Fractional positions:
Nd1 0.338 0.899 0.675
Nd2 0.672 0.573 0.344
Nd3 0.662 0.101 0.325
Nd4 0.005 0.232 0.010
Nd5 0.995 0.768 0.990
Nd6 0.328 0.427 0.656
Si1 0.834 0.662 0.668
Si2 0.166 0.338 0.332
Pt1 0.500 0.000 0.000
Cl1 0.500 0.500 0.000
Cl2 0.829 0.164 0.658
Cl3 0.171 0.836 0.342



Here is a relaxed structure of Nd4TcPtCl2 from Alexandria via LeMat-Bulk. Energies are from PBE.

* E_form (uncorrected): -22.562 kcal/mol of atoms
* V: 220.3 Å³/cell
* D(E_F): 0.37 states/eV per atom

Cell lengths 3.903, 8.118, 7.254 Å; angles 73.46, 90.00, 90.00 degrees
Fractional positions:
Nd1 0.000 0.706 0.736
Nd2 0.000 0.294 0.264
Nd3 0.500 0.721 0.250
Nd4 0.500 0.279 0.750
Tc1 0.000 0.500 0.500
Pt1 0.500 0.500 0.000
Cl1 0.000 0.000 0.000
Cl2 0.500 0.000 0.500



Here is a relaxed structure of Nd3TePtCl from Alexandria via LeMat-Bulk. Energies are from PBE.

* E_form (uncorrected): -28.342 kcal/mol of atoms
* V: 349.7 Å³/cell
* D(E_F): 0.70 states/eV per atom

Cell lengths 4.308, 8.590, 9.695 Å; angles 102.91, 90.00, 90.00 degrees
Fractional positions:
Nd1 0.750 0.886 0.111
Nd2 0.250 0.114 0.889
Nd3 0.250 0.725 0.477
Nd4 0.750 0.275 0.523
Nd5 0.750 0.443 0.161
Nd6 0.250 0.557 0.839
Te1 0.250 0.188 0.245
Te2 0.750 0.812 0.755
Pt1 0.250 0.667 0.149
Pt2 0.750 0.333 0.851
Cl1 0.250 0.091 0.598
Cl2 0.750 0.909 0.402



Here is a relaxed structure of Nd4Te2PtCl2 from Alexandria via LeMat-Bulk. Energies are from PBE.

* E_form (uncorrected): -33.691 kcal/mol of atoms
* V: 282.9 Å³/cell
* D(E_F): 0.36 states/eV per atom

Cell lengths 4.299, 9.399, 8.686 Å; angles 123.07, 90.00, 103.22 degrees
Fractional positions:
Nd1 0.798 0.597 0.799
Nd2 0.202 0.403 0.201
Nd3 0.515 0.029 0.230
Nd4 0.485 0.971 0.770
Te1 0.841 0.682 0.475
Te2 0.159 0.318 0.525
Pt1 0.000 0.000 0.000
Cl1 0.334 0.667 0.079
Cl2 0.666 0.333 0.921



Here is a relaxed structure of NdThPtCl from Alexandria via LeMat-Bulk. Energies are from PBE.

* E_form (uncorrected): -27.615 kcal/mol of atoms
* V: 114.6 Å³/cell
* D(E_F): 0.51 states/eV per atom

Cell lengths 4.170, 4.169, 7.984 Å; angles 90.01, 105.14, 120.00 degrees
Fractional positions:
Nd1 0.495 0.145 0.656
Th1 0.107 0.951 0.074
Pt1 0.310 0.553 0.879
Cl1 0.966 0.381 0.361



Here is a relaxed structure of NdPuCl2 from Alexandria via LeMat-Bulk. Energies are from PBE.

* E_form (uncorrected): -26.683 kcal/mol of atoms
* V: 113.9 Å³/cell
* D(E_F): 1.87 states/eV per atom

Cell lengths 3.688, 3.688, 9.898 Å; angles 79.26, 79.26, 60.00 degrees
Site moments in Bohr magnetons follow the coordinates.
Fractional positions:
Cl1 0.099 0.099 0.703  -0.02
Cl2 0.901 0.901 0.297  -0.02
Nd1 0.000 0.000 0.000  -0.16
Pu1 0.500 0.500 0.500  5.86



Here is a relaxed structure of NdPuCl6 from Alexandria via LeMat-Bulk. Energies are from PBE.

* E_form (uncorrected): -47.266 kcal/mol of atoms
* V: 261.5 Å³/cell
* D(E_F): 1.15 states/eV per atom

Cell lengths 6.847, 6.847, 7.559 Å; angles 63.06, 63.06, 60.00 degrees
Site moments in Bohr magnetons follow the coordinates.
Fractional positions:
Nd1 0.500 0.500 0.500  0.01
Pu1 0.000 0.000 0.000  5.01
Cl1 0.099 0.397 0.748  -0.02
Cl2 0.755 0.099 0.748  -0.02
Cl3 0.603 0.244 0.252  -0.02
Cl4 0.245 0.901 0.252  -0.02
Cl5 0.901 0.603 0.252  -0.02
Cl6 0.397 0.756 0.748  -0.02



Here is a relaxed structure of NdPuSe2Cl from Alexandria via LeMat-Bulk. Energies are from PBE.

* E_form (uncorrected): -39.308 kcal/mol of atoms
* V: 257.9 Å³/cell
* D(E_F): 2.41 states/eV per atom

Cell lengths 4.251, 4.251, 14.270 Å; angles 90.00, 90.00, 90.00 degrees
Site moments in Bohr magnetons follow the coordinates.
Fractional positions:
Nd1 0.500 0.000 0.103  -0.01
Nd2 0.000 0.500 0.897  -0.01
Pu1 0.500 0.000 0.641  5.36
Pu2 0.000 0.500 0.359  5.36
Se1 0.000 0.500 0.695  -0.07
Se2 0.000 0.500 0.113  -0.01
Se3 0.500 0.000 0.887  -0.01
Se4 0.500 0.000 0.305  -0.07
Cl1 0.000 0.000 0.500  -0.05
Cl2 0.500 0.500 0.500  -0.05



Here is a relaxed structure of NdPuTe2Cl from Alexandria via LeMat-Bulk. Energies are from PBE.

* E_form (uncorrected): -21.078 kcal/mol of atoms
* V: 292.5 Å³/cell
* D(E_F): 2.80 states/eV per atom

Cell lengths 4.399, 4.399, 15.110 Å; angles 90.00, 90.00, 90.00 degrees
Site moments in Bohr magnetons follow the coordinates.
Fractional positions:
Nd1 0.500 0.000 0.091  -0.01
Nd2 0.000 0.500 0.909  -0.01
Pu1 0.500 0.000 0.628  0.30
Pu2 0.000 0.500 0.372  0.30
Te1 0.000 0.500 0.697  0.01
Te2 0.000 0.500 0.125  0.00
Te3 0.500 0.000 0.875  0.00
Te4 0.500 0.000 0.303  0.01
Cl1 0.000 0.000 0.500  -0.01
Cl2 0.500 0.500 0.500  -0.01



Here is a relaxed structure of Rb2NdCl4 from Alexandria via LeMat-Bulk. Energies are from PBE.

* E_form (uncorrected): -43.479 kcal/mol of atoms
* V: 258.6 Å³/cell
* D(E_F): 0.46 states/eV per atom

Cell lengths 5.538, 5.538, 9.298 Å; angles 107.33, 107.33, 90.00 degrees
Site moments in Bohr magnetons follow the coordinates.
Fractional positions:
Nd1 0.000 0.000 0.000  0.22
Rb1 0.641 0.641 0.282  0.00
Rb2 0.359 0.359 0.718  0.00
Cl1 0.833 0.833 0.667  0.00
Cl2 0.167 0.167 0.333  0.00
Cl3 0.000 0.500 0.000  -0.01
Cl4 0.500 0.000 0.000  -0.01



Here is a relaxed structure of RbNdCl4 from Alexandria via LeMat-Bulk. Energies are from PBE.

* polymorph energy (0 for the lowest one): 0.000 eV/atom
* E_form (uncorrected): -50.269 kcal/mol of atoms
* V: 669.7 Å³/cell
* D(E_F): 0.00 states/eV per atom

Cell lengths 4.375, 7.740, 19.777 Å; angles 90.00, 90.00, 90.00 degrees
Fractional positions:
Rb1 0.750 0.780 0.796
Rb2 0.250 0.220 0.204
Rb3 0.250 0.720 0.296
Rb4 0.750 0.280 0.704
Nd1 0.750 0.250 0.442
Nd2 0.250 0.750 0.558
Nd3 0.250 0.250 0.942
Nd4 0.750 0.750 0.058
Cl1 0.750 0.901 0.632
Cl2 0.250 0.099 0.368
Cl3 0.250 0.599 0.132
Cl4 0.750 0.401 0.868
Cl5 0.750 0.859 0.464
Cl6 0.250 0.141 0.536
Cl7 0.250 0.641 0.964
Cl8 0.750 0.359 0.036
Cl9 0.750 0.992 0.940
Cl10 0.250 0.008 0.060
Cl11 0.250 0.508 0.440
Cl12 0.750 0.492 0.560
Cl13 0.750 0.904 0.190
Cl14 0.250 0.096 0.810
Cl15 0.250 0.596 0.690
Cl16 0.750 0.404 0.310



Here is a relaxed structure of RbNdCl2 from Alexandria via LeMat-Bulk. Energies are from PBE.

* E_form (uncorrected): -32.702 kcal/mol of atoms
* V: 134.1 Å³/cell
* D(E_F): 0.61 states/eV per atom

Cell lengths 3.875, 3.875, 10.552 Å; angles 79.42, 79.42, 60.00 degrees
Fractional positions:
Nd1 0.500 0.500 0.500
Rb1 0.000 0.000 0.000
Cl1 0.104 0.104 0.688
Cl2 0.896 0.896 0.312